Below is a relaxed structure of Cd2InGaI, with properties calculated at the GGA-PBE level.

Unit cell a=5.335 b=5.335 c=5.502 alpha=90.00 beta=90.00 gamma=90.00
Atoms (fractional coordinates):
Cd 0.000 0.500 0.000
In 0.000 0.000 0.500
Ga 0.000 0.000 0.000
I 0.500 0.500 0.500
Cd 0.500 0.000 0.000

Properties
Its uncorrected formation energy is -0.038 eV/atom. As for the symmetry: P4/mmm.

---

Below is a relaxed structure of In4PbSe7, with properties calculated at the GGA-PBE level.

Unit cell a=6.682 b=7.153 c=16.483 alpha=90.00 beta=90.00 gamma=90.00
Atoms (fractional coordinates):
In 0.075 0.822 0.255
Se 0.480 0.338 0.384
Se 0.476 0.819 0.263
Se 0.985 0.121 0.500
Pb 0.549 0.044 0.500
In 0.080 0.342 0.623
In 0.580 0.658 0.877
Se 0.976 0.181 0.237
In 0.080 0.342 0.377
Se 0.449 0.321 0.887
Pb 0.049 0.956 0.000
In 0.075 0.822 0.745
In 0.575 0.178 0.245
Se 0.980 0.662 0.116
Se 0.480 0.338 0.616
Se 0.976 0.181 0.763
Se 0.949 0.679 0.387
In 0.580 0.658 0.123
Se 0.949 0.679 0.613
Se 0.476 0.819 0.737
Se 0.449 0.321 0.113
Se 0.980 0.662 0.884
In 0.575 0.178 0.755
Se 0.485 0.879 0.000

Properties
Its uncorrected formation energy is -0.519 eV/atom. As for the symmetry: Pmn2_1.

---

Below is a relaxed structure of CaIr2Cl, with properties calculated at the GGA-PBE level.

Unit cell a=4.674 b=4.674 c=4.674 alpha=60.00 beta=60.00 gamma=60.00
Atoms (fractional coordinates):
Ir 0.750 0.750 0.750
Ir 0.250 0.250 0.250
Cl 0.000 0.000 0.000
Ca 0.500 0.500 0.500

Properties
For the energy above the most stable polymorph in this dataset, the calculation gives 122.6 kJ per mole of atoms. Its uncorrected formation energy is 0.887 eV/atom. As for the symmetry: Fm-3m.

---

Below is a relaxed structure of Ce4DyIn5, with properties calculated at the GGA-PBE level.

Unit cell a=3.389 b=3.389 c=23.523 alpha=90.00 beta=90.00 gamma=90.00
Each line ends with the local moment (μB).
Atoms (fractional coordinates):
In 0.500 0.500 0.904  -0.01
Ce 0.000 0.000 0.197  0.80
In 0.500 0.500 0.298  0.00
Ce 0.000 0.000 0.803  0.80
Ce 0.000 0.000 0.601  0.78
In 0.500 0.500 0.500  0.00
Dy 0.000 0.000 0.000  0.23
In 0.500 0.500 0.096  -0.01
Ce 0.000 0.000 0.399  0.78
In 0.500 0.500 0.702  0.00

Properties
The formation energy is -381 meV/atom. As for the symmetry: P4/mmm.